(1)
Crystalline AgGeBP2 at its relaxed geometry. Source: Alexandria, functional PBE-GGA.

It has space group P4/mmm (No. 123), with a = 4.746 Å, b = 4.746 Å, c = 4.900 Å, α = 90.00°, β = 90.00° and γ = 90.00°. Symmetry generates all atoms from Ag at (0.000, 0.000, 0.000), Ge at (0.000, 0.000, 0.500), B at (0.500, 0.500, 0.000) and P at (0.000, 0.500, 0.500).

The final energy is -3.309 eV/atom. The calculated volume comes out at 110 Å³ per cell. For the formation energy from the elements, the calculation gives 1.684 eV per atom.


(2)
Crystalline Ag2GeBPd6 at its relaxed geometry. Source: Alexandria, functional PBE-GGA.

It has space group P-1 (No. 2), with a = 5.338 Å, b = 5.671 Å, c = 5.766 Å, α = 74.55°, β = 71.43° and γ = 79.15°. Symmetry generates all atoms from Ag at (0.154, 0.306, 0.370), Ge at (0.500, 0.500, 0.500), B at (0.000, 0.000, 0.000), Pd at (0.161, 0.328, 0.878), Pd at (0.295, 0.856, 0.199) and Pd at (0.295, 0.869, 0.700).

The final energy is -5.004 eV/atom. The calculated volume comes out at 158 Å³ per cell. For the formation energy from the elements, the calculation gives -0.189 eV per atom.


(3)
Crystalline ReAgGe2B at its relaxed geometry. Source: Alexandria, functional PBE-GGA.

It has space group P4/mmm (No. 123), with a = 4.373 Å, b = 4.373 Å, c = 4.109 Å, α = 90.00°, β = 90.00° and γ = 90.00°. Symmetry generates all atoms from Re at (0.000, 0.000, 0.000), Ag at (0.500, 0.500, 0.000), Ge at (0.000, 0.500, 0.500) and B at (0.000, 0.000, 0.500).

The final energy is -5.414 eV/atom. The calculated volume comes out at 79 Å³ per cell. For the formation energy from the elements, the calculation gives 0.828 eV per atom.


| no. | DOS at the Fermi energy (states/eV/cell) |
| --- | --- |
| 1 | 3.1 |
| 2 | 4.5 |
| 3 | 3.6 |